Here is an optimized crystal structure of SrMg2Tl from Alexandria. Energies are from PBEsol.

a = 4.075 Å, b = 5.375 Å, c = 6.233 Å
α = 115.54°, β = 109.08°, γ = 90.00°
Fractional positions:
Mg (0.225, 0.225, 0.450)
Mg (0.775, 0.775, 0.550)
Tl (0.500, 0.000, 0.000)
Sr (0.000, 0.500, 0.000)

Results
Mass density in g cm⁻³: 4.93
Space-group type: Immm, No. 71
Volume in Å³ per cell: 115
Energy of formation from the pure elements in eV per atom: -0.122
Crystal system: orthorhombic
Polymorph energy (0 for the lowest one) in eV/f.u.: 0.29